No. 1
Computed, not measured: Zr4CoNi after structural relaxation at the PBEsol level of DFT. Values from VASP.

magnetic moment	0.0	μB per cell
final energy	-52.118	eV per cell

Quantum ESPRESSO input file:
```
&SYSTEM
  ibrav = 0, nat = 6, ntyp = 3
/
ATOMIC_SPECIES
Zr 91.22 Zr.upf
Ni 58.69 Ni.upf
Co 58.93 Co.upf
ATOMIC_POSITIONS crystal
Zr 0.916 0.416 0.832
Ni 0.500 0.500 0.000
Co 0.000 0.000 0.000
Zr 0.084 0.916 0.500
Zr 0.584 0.084 0.168
Zr 0.416 0.584 0.500
CELL_PARAMETERS angstrom
-4.645 2.325 0.138
1.804 -1.816 -4.523
-0.535 -4.209 3.000
```

=====

No. 2
Computed, not measured: Hf3MgSb after structural relaxation at the PBEsol level of DFT. Values from VASP.

magnetic moment	0.0	μB per cell
E_form (uncorrected)	4.278	eV per formula unit

Quantum ESPRESSO input file:
```
&SYSTEM
  ibrav = 0, nat = 5, ntyp = 3
/
ATOMIC_SPECIES
Hf 178.49 Hf.upf
Sb 121.76 Sb.upf
Mg 24.30 Mg.upf
ATOMIC_POSITIONS crystal
Hf 0.000 0.000 0.500
Hf 0.500 0.000 0.000
Sb 0.000 0.000 0.000
Mg 0.500 0.500 0.500
Hf 0.000 0.500 0.000
CELL_PARAMETERS angstrom
-2.825 -0.659 -4.308
0.623 -5.142 0.377
-4.313 -0.312 2.876
```

=====

No. 3
Computed, not measured: Cd4P2I3 after structural relaxation at the PBEsol level of DFT. Values from VASP.

magnetic moment	0.0	μB per cell
E_form (uncorrected)	-2.748	eV per formula unit

Quantum ESPRESSO input file:
```
&SYSTEM
  ibrav = 0, nat = 72, ntyp = 3
/
ATOMIC_SPECIES
I 126.90 I.upf
Cd 112.41 Cd.upf
P 30.97 P.upf
ATOMIC_POSITIONS crystal
I 0.815 0.255 0.921
I 0.253 0.429 0.180
I 0.753 0.571 0.320
Cd 0.912 0.708 0.936
Cd 0.297 0.578 0.413
I 0.563 0.325 0.744
P 0.094 0.597 0.396
I 0.437 0.675 0.256
Cd 0.957 0.433 0.787
Cd 0.043 0.567 0.213
Cd 0.588 0.708 0.436
P 0.446 0.951 0.046
Cd 0.088 0.792 0.436
I 0.315 0.245 0.921
P 0.446 0.451 0.454
I 0.247 0.929 0.820
I 0.815 0.755 0.579
Cd 0.088 0.292 0.064
P 0.054 0.451 0.954
P 0.594 0.903 0.396
I 0.747 0.071 0.680
Cd 0.905 0.072 0.015
Cd 0.595 0.072 0.515
P 0.054 0.951 0.546
Cd 0.095 0.928 0.985
I 0.437 0.175 0.244
P 0.554 0.549 0.546
P 0.946 0.549 0.046
Cd 0.588 0.208 0.064
I 0.747 0.571 0.820
Cd 0.203 0.578 0.913
I 0.937 0.825 0.256
Cd 0.405 0.428 0.015
I 0.685 0.255 0.421
Cd 0.703 0.422 0.587
P 0.906 0.903 0.896
Cd 0.543 0.433 0.287
I 0.937 0.325 0.244
Cd 0.595 0.572 0.985
Cd 0.095 0.428 0.515
I 0.063 0.675 0.756
I 0.063 0.175 0.744
Cd 0.797 0.922 0.413
Cd 0.912 0.208 0.564
Cd 0.957 0.933 0.713
P 0.406 0.597 0.896
Cd 0.297 0.078 0.087
P 0.594 0.403 0.104
I 0.685 0.755 0.079
I 0.563 0.825 0.756
P 0.554 0.049 0.954
Cd 0.405 0.928 0.485
Cd 0.457 0.567 0.713
P 0.094 0.097 0.104
Cd 0.905 0.572 0.485
P 0.406 0.097 0.604
I 0.185 0.245 0.421
Cd 0.703 0.922 0.913
I 0.315 0.745 0.579
P 0.906 0.403 0.604
Cd 0.412 0.292 0.564
Cd 0.203 0.078 0.587
Cd 0.457 0.067 0.787
I 0.753 0.071 0.180
Cd 0.797 0.422 0.087
I 0.253 0.929 0.320
I 0.247 0.429 0.680
Cd 0.543 0.933 0.213
Cd 0.412 0.792 0.936
I 0.185 0.745 0.079
P 0.946 0.049 0.454
Cd 0.043 0.067 0.287
CELL_PARAMETERS angstrom
12.467 0.000 0.000
0.000 12.593 0.000
0.000 0.000 12.946
```

=====

No. 4
Computed, not measured: AlOs3 after structural relaxation at the PBEsol level of DFT. Values from VASP.

magnetic moment	0.0	μB per cell
final energy	-40.575	eV per cell

Quantum ESPRESSO input file:
```
&SYSTEM
  ibrav = 0, nat = 4, ntyp = 2
/
ATOMIC_SPECIES
Al 26.98 Al.upf
Os 190.23 Os.upf
ATOMIC_POSITIONS crystal
Al 0.000 0.000 0.000
Os 0.500 0.500 0.751
Os 0.500 0.500 0.249
Os 0.000 0.000 0.500
CELL_PARAMETERS angstrom
-0.367 -2.463 1.181
3.120 -1.292 -1.726
2.953 1.560 4.170
```

=====

No. 5
Computed, not measured: LaYOs after structural relaxation at the PBEsol level of DFT. Values from VASP.

magnetic moment	0.0	μB per cell
final energy	-24.666	eV per cell

Quantum ESPRESSO input file:
```
&SYSTEM
  ibrav = 0, nat = 3, ntyp = 3
/
ATOMIC_SPECIES
Y 88.91 Y.upf
La 138.91 La.upf
Os 190.23 Os.upf
ATOMIC_POSITIONS crystal
Y 0.000 0.000 0.000
La 0.500 0.500 0.500
Os 0.250 0.250 0.250
CELL_PARAMETERS angstrom
4.811 0.000 0.000
2.406 4.167 0.000
2.406 1.389 3.929
```

=====

No. 6
Computed, not measured: Be3Ag after structural relaxation at the PBEsol level of DFT. Values from VASP.

magnetic moment	0.0	μB per cell
offset from the most stable computed form	6	meV per atom

Quantum ESPRESSO input file:
```
&SYSTEM
  ibrav = 0, nat = 8, ntyp = 2
/
ATOMIC_SPECIES
Be 9.01 Be.upf
Ag 107.87 Ag.upf
ATOMIC_POSITIONS crystal
Be 0.500 0.141 0.263
Be 0.500 0.141 0.737
Ag 0.000 0.362 0.000
Be 0.000 0.859 0.763
Be 0.500 0.721 0.000
Be 0.000 0.859 0.237
Ag 0.500 0.638 0.500
Be 0.000 0.279 0.500
CELL_PARAMETERS angstrom
3.822 0.000 0.000
0.000 4.398 0.000
0.000 0.000 4.882
```

=====

No. 7
Computed, not measured: SrCr2Pt after structural relaxation at the PBEsol level of DFT. Values from VASP.

magnetic moment	0.4	μB per cell
final energy	-28.035	eV per cell

Quantum ESPRESSO input file:
```
&SYSTEM
  ibrav = 0, nat = 4, ntyp = 3
/
ATOMIC_SPECIES
Cr 52.00 Cr.upf
Pt 195.08 Pt.upf
Sr 87.62 Sr.upf
ATOMIC_POSITIONS crystal
Cr 0.500 0.500 0.228
Cr 0.000 0.000 0.084
Pt 0.000 0.000 0.449
Sr 0.500 0.500 0.739
CELL_PARAMETERS angstrom
3.095 0.000 0.000
0.000 3.095 0.000
0.000 0.000 7.420
```

=====

No. 8
Computed, not measured: RbIN2F after structural relaxation at the PBEsol level of DFT. Values from VASP.

magnetic moment	7.0	μB per cell
E_form (uncorrected)	7.367	eV per formula unit
offset from the most stable computed form	225	meV per atom

Quantum ESPRESSO input file:
```
&SYSTEM
  ibrav = 0, nat = 5, ntyp = 4
/
ATOMIC_SPECIES
N 14.01 N.upf
Rb 85.47 Rb.upf
I 126.90 I.upf
F 19.00 F.upf
ATOMIC_POSITIONS crystal
N 0.000 0.000 0.500
Rb 0.000 0.000 0.000
I 0.500 0.500 0.500
N 0.000 0.500 0.000
F 0.500 0.000 0.000
CELL_PARAMETERS angstrom
-0.045 4.783 -0.834
-4.256 0.694 4.211
4.268 0.771 4.186
```

=====

No. 9
Computed, not measured: BaTaPd3 after structural relaxation at the PBEsol level of DFT. Values from VASP.

magnetic moment	0.0	μB per cell
final energy	-31.456	eV per cell

Quantum ESPRESSO input file:
```
&SYSTEM
  ibrav = 0, nat = 5, ntyp = 3
/
ATOMIC_SPECIES
Pd 106.42 Pd.upf
Ba 137.33 Ba.upf
Ta 180.95 Ta.upf
ATOMIC_POSITIONS crystal
Pd 0.000 0.000 0.500
Ba 0.500 0.500 0.500
Pd 0.500 0.000 0.000
Pd 0.000 0.500 0.000
Ta 0.000 0.000 0.000
CELL_PARAMETERS angstrom
4.938 0.000 0.000
0.000 4.938 0.000
0.000 0.000 4.938
```

=====

No. 10
Computed, not measured: SrAu after structural relaxation at the PBEsol level of DFT. Values from VASP.

magnetic moment	0.0	μB per cell
final energy	-21.181	eV per cell

Quantum ESPRESSO input file:
```
&SYSTEM
  ibrav = 0, nat = 6, ntyp = 2
/
ATOMIC_SPECIES
Sr 87.62 Sr.upf
Au 196.97 Au.upf
ATOMIC_POSITIONS crystal
Sr 0.632 0.263 0.313
Sr 0.986 0.973 0.612
Au 0.348 0.696 0.305
Au 0.114 0.227 0.017
Sr 0.814 0.628 0.962
Au 0.273 0.546 0.625
CELL_PARAMETERS angstrom
4.176 0.000 0.000
-2.088 5.644 0.001
0.000 -2.914 7.501
```

=====

No. 11
Computed, not measured: TaSbCl2 after structural relaxation at the PBEsol level of DFT. Values from VASP.

magnetic moment	0.0	μB per cell
E_form (uncorrected)	-0.759	eV per formula unit
offset from the most stable computed form	0	meV per atom

Quantum ESPRESSO input file:
```
&SYSTEM
  ibrav = 0, nat = 4, ntyp = 3
/
ATOMIC_SPECIES
Cl 35.45 Cl.upf
Sb 121.76 Sb.upf
Ta 180.95 Ta.upf
ATOMIC_POSITIONS crystal
Cl 0.000 0.000 0.956
Sb 0.000 0.000 0.510
Cl 0.500 0.500 0.261
Ta 0.500 0.500 0.773
CELL_PARAMETERS angstrom
3.089 0.000 0.000
0.000 3.089 0.000
0.000 0.000 8.289
```

=====

No. 12
Computed, not measured: HgAsAu after structural relaxation at the PBEsol level of DFT. Values from VASP.

magnetic moment	0.0	μB per cell
offset from the most stable computed form	0	meV per atom

Quantum ESPRESSO input file:
```
&SYSTEM
  ibrav = 0, nat = 3, ntyp = 3
/
ATOMIC_SPECIES
As 74.92 As.upf
Hg 200.59 Hg.upf
Au 196.97 Au.upf
ATOMIC_POSITIONS crystal
As 0.981 0.981 0.963
Hg 0.672 0.672 0.344
Au 0.347 0.347 0.693
CELL_PARAMETERS angstrom
-1.747 1.157 -1.873
-2.636 -2.538 0.890
0.229 4.113 4.436
```